{"formula": "Co2O", "functional": "GGA+U", "state": "optimized geometry", "polymorph_energy_mev_per_atom": 24.4, "lattice": [[2.9167, 0.0000, 0.0000], [-1.4584, 2.5259, 0.0000], [0.0000, 0.0000, 4.9026]], "species": ["Co", "Co", "O"], "frac_coords": [[0.0000, 0.0000, 0.0000], [0.3333, 0.6667, 0.4071], [0.0000, 0.0000, 0.6200]]}